(1)
Li3Ag4Pd2 | PBE | optimized geometry

The formation enthalpy at 0 K is -176 meV per atom. The energy comes out at -116.45 eV per cell. For the total magnetic moment, the calculation gives 0.000 Bohr magnetons per cell. The volume is 584 Å³ per cell.

The structure belongs to space group C2/c (No. 15); the cell edges are 10.992, 10.914 and 4.965 Å and the angles 90.00°, 101.21° and 90.00°. The asymmetric unit holds Li at (0.000, 0.012, 0.250), Li at (0.118, 0.432, 0.512), Ag at (0.088, 0.298, 0.038), Ag at (0.153, 0.182, 0.574) and Pd at (0.204, 0.068, 0.086).


(2)
Li2Ag4Pd | PBE | optimized geometry

The formation enthalpy at 0 K is -183 meV per atom. The energy comes out at -21.71 eV per cell. For the total magnetic moment, the calculation gives 0.000 Bohr magnetons per cell. The volume is 116 Å³ per cell.

The structure belongs to space group P-1 (No. 2); the cell edges are 4.889, 4.977 and 4.997 Å and the angles 99.35°, 99.10° and 99.51°. The asymmetric unit holds Li at (0.076, 0.277, 0.148), Ag at (0.215, 0.856, 0.430), Ag at (0.352, 0.432, 0.725) and Pd at (0.500, 0.000, 0.000).


(3)
LiAg4Pd | PBE | optimized geometry

The formation enthalpy at 0 K is 52 meV per atom. The energy comes out at -72.80 eV per cell. For the total magnetic moment, the calculation gives 0.000 Bohr magnetons per cell. The volume is 450 Å³ per cell.

The structure belongs to space group F-43m (No. 216); the cell edges are 7.663, 7.663 and 7.663 Å and the angles 90.00°, 90.00° and 90.00°. The asymmetric unit holds Li at (0.000, 0.000, 0.000), Ag at (0.125, 0.125, 0.375) and Pd at (0.250, 0.250, 0.750).


(4)
LiAg5Pd5 | PBE | optimized geometry

The formation enthalpy at 0 K is -21 meV per atom. The energy comes out at -42.37 eV per cell. For the total magnetic moment, the calculation gives 0.000 Bohr magnetons per cell. The volume is 184 Å³ per cell.

The structure belongs to space group P-1 (No. 2); the cell edges are 5.067, 5.242 and 7.104 Å and the angles 97.10°, 97.59° and 96.14°. The asymmetric unit holds Li at (0.000, 0.000, 0.000), Ag at (0.172, 0.015, 0.658), Ag at (0.232, 0.495, 0.892), Ag at (0.500, 0.000, 0.000), Pd at (0.000, 0.500, 0.500), Pd at (0.295, 0.751, 0.275) and Pd at (0.410, 0.282, 0.357).


(5)
Li6AgPd10 | PBE | optimized geometry

The formation enthalpy at 0 K is -249 meV per atom. The energy comes out at -70.50 eV per cell. For the total magnetic moment, the calculation gives 0.000 Bohr magnetons per cell. The volume is 248 Å³ per cell.

The structure belongs to space group P-31m (No. 162); the cell edges are 7.3423, 7.3423 and 5.3043 Å and the angles 90.00°, 90.00° and 120.00°. The asymmetric unit holds Li at (0.0000, 0.3633, 0.1886), Ag at (0.0000, 0.0000, 0.0000), Pd at (0.0000, 0.2983, 0.6745), Pd at (0.3333, 0.6667, 0.0000) and Pd at (0.3333, 0.6667, 0.5000).


(6)
Li4Ag2Pd5 | PBE | optimized geometry

The formation enthalpy at 0 K is -260 meV per atom. The energy comes out at -84.36 eV per cell. For the total magnetic moment, the calculation gives 0.000 Bohr magnetons per cell. The volume is 323 Å³ per cell.

The structure belongs to space group Pbam (No. 55); the cell edges are 4.985, 14.941 and 4.333 Å and the angles 90.00°, 90.00° and 90.00°. The asymmetric unit holds Li at (0.167, 0.123, 0.000), Li at (0.223, 0.462, 0.000), Ag at (0.132, 0.297, 0.000), Pd at (0.000, 0.000, 0.500), Pd at (0.019, 0.593, 0.500) and Pd at (0.023, 0.808, 0.500).